#a
VASP calculation (PBE) on an optimized crystal structure of ZrCrBi3.

For the density, the calculation gives 7054 kg/m³. The value obtained for the density of states at the Fermi level is 4.3 states/eV/f.u.

a b c (Å): 5.6597 5.6597 5.6597
angles (deg): 90.00 90.00 90.00
With the nearest neighbours (Å) after each atom.
Element x y z (fractional)
Bi1 0.0000 0.0000 0.5000  2 Zr 2.83
Bi2 0.5000 0.0000 0.0000  2 Zr 2.83
Bi3 0.0000 0.5000 0.0000  2 Zr 2.83
Zr1 0.0000 0.0000 0.0000  6 Bi 2.83
Cr1 0.5000 0.5000 0.5000  12 Bi 4.00

#b
VASP calculation (PBE) on an optimized crystal structure of ZrCrBi3.

For the density, the calculation gives 8827 kg/m³. The value obtained for the density of states at the Fermi level is 7.2 states/eV/f.u.

a b c (Å): 5.2521 5.2521 5.2521
angles (deg): 90.00 90.00 90.00
With the nearest neighbours (Å) after each atom.
Element x y z (fractional)
Cr1 0.0000 0.0000 0.0000  6 Bi 2.63
Bi1 0.0000 0.0000 0.5000  2 Cr 2.63
Bi2 0.0000 0.5000 0.0000  2 Cr 2.63
Bi3 0.5000 0.0000 0.0000  2 Cr 2.63
Zr1 0.5000 0.5000 0.5000  12 Bi 3.71

Order of stability, best first: #b, #a

#a
VASP calculation (PBE) on an optimized crystal structure of CsBi.

For the density, the calculation gives 3818 kg/m³. The value obtained for the density of states at the Fermi level is 1.5 states/eV/f.u.

a b c (Å): 13.9800 13.9800 5.2712
angles (deg): 90.00 90.00 120.00
With the nearest neighbours (Å) after each atom.
Element x y z (fractional)
Cs1 0.7824 0.2176 0.2500  6 Bi 4.03-4.19
Cs2 0.4351 0.2176 0.2500  6 Bi 4.03-4.19
Cs3 0.2176 0.7824 0.7500  6 Bi 4.03-4.19
Cs4 0.2176 0.4351 0.7500  6 Bi 4.03-4.19
Cs5 0.5649 0.7824 0.7500  6 Bi 4.03-4.19
Cs6 0.7824 0.5649 0.2500  6 Bi 4.03-4.19
Bi1 0.9351 0.4676 0.7500  2 Bi 3.07
Bi2 0.0649 0.5324 0.2500  2 Bi 3.07
Bi3 0.5324 0.4676 0.7500  2 Bi 3.07
Bi4 0.4676 0.5324 0.2500  2 Bi 3.07
Bi5 0.4676 0.9351 0.2500  2 Bi 3.07
Bi6 0.5324 0.0649 0.7500  2 Bi 3.07

#b
VASP calculation (PBE) on an optimized crystal structure of CsBi.

For the density, the calculation gives 6363 kg/m³. The value obtained for the density of states at the Fermi level is 1.4 states/eV/f.u.

a b c (Å): 3.8540 3.8540 13.8720
angles (deg): 90.00 90.00 120.00
With the nearest neighbours (Å) after each atom.
Element x y z (fractional)
Cs1 0.6667 0.3333 0.9051  4 Bi 3.77-3.87, 6 Cs 3.85
Cs2 0.3333 0.6667 0.4051  4 Bi 3.77-3.87, 6 Cs 3.85
Bi1 0.3333 0.6667 0.6769  4 Cs 3.77-3.87, 6 Bi 3.85
Bi2 0.6667 0.3333 0.1769  4 Cs 3.77-3.87, 6 Bi 3.85

#c
VASP calculation (PBE) on an optimized crystal structure of CsBi.

For the density, the calculation gives 4436 kg/m³. The value obtained for the density of states at the Fermi level is 2.0 states/eV/f.u.

a b c (Å): 8.1267 8.1267 7.7512
angles (deg): 90.00 90.00 90.00
With the nearest neighbours (Å) after each atom.
Element x y z (fractional)
Cs1 0.3180 0.6819 0.5000  4 Bi 3.93, 1 Cs 4.18
Cs2 0.6819 0.3180 0.5000  4 Bi 3.93, 1 Cs 4.18
Cs3 0.1820 0.1820 0.0000  4 Bi 3.93, 1 Cs 4.18
Cs4 0.8181 0.8181 0.0000  4 Bi 3.93, 1 Cs 4.18
Bi1 0.8746 0.8746 0.5000  1 Bi 2.88
Bi2 0.1254 0.1254 0.5000  1 Bi 2.88
Bi3 0.6254 0.3746 0.0000  1 Bi 2.88
Bi4 0.3746 0.6254 0.0000  1 Bi 2.88

#d
VASP calculation (PBE) on an optimized crystal structure of CsBi.

For the density, the calculation gives 5714 kg/m³. The value obtained for the density of states at the Fermi level is 0.2 states/eV/f.u.

a b c (Å): 5.9657 7.2394 13.8021
angles (deg): 90.00 90.00 90.00
With the nearest neighbours (Å) after each atom.
Element x y z (fractional)
Cs1 0.5000 0.4168 0.3333  5 Bi 3.73-4.16, 3 Cs 3.95-4.09
Cs2 0.5000 0.4168 0.6667  5 Bi 3.73-4.16, 3 Cs 3.95-4.09
Cs3 0.0000 0.5832 0.8333  5 Bi 3.73-4.16, 3 Cs 3.95-4.09
Cs4 0.0000 0.1162 0.0000  8 Bi 4.02-4.36, 4 Cs 4.09-4.49
Cs5 0.5000 0.8838 0.5000  8 Bi 4.02-4.36, 4 Cs 4.09-4.49
Cs6 0.0000 0.5832 0.1667  5 Bi 3.73-4.16, 3 Cs 3.95-4.09
Bi1 0.0000 0.0188 0.6884  3 Bi 3.12-3.44
Bi2 0.5000 0.9812 0.1884  3 Bi 3.12-3.44
Bi3 0.5000 0.7438 0.0000  2 Bi 3.12
Bi4 0.0000 0.2562 0.5000  2 Bi 3.12
Bi5 0.5000 0.9812 0.8116  3 Bi 3.12-3.44
Bi6 0.0000 0.0188 0.3116  3 Bi 3.12-3.44

Order of stability, best first: #d, #a, #c, #b

#a
VASP calculation (PBE) on an optimized crystal structure of CsBi.

For the density, the calculation gives 2946 kg/m³. The value obtained for the density of states at the Fermi level is 3.9 states/eV/f.u.

a b c (Å): 11.5519 11.5519 11.5519
angles (deg): 90.00 90.00 90.00
With the nearest neighbours (Å) after each atom.
Element x y z (fractional)
Bi1 0.4012 0.4012 0.4012  3 Bi 3.23
Bi2 0.9012 0.9012 0.9012  3 Bi 3.23
Bi3 0.0988 0.9012 0.0988  3 Bi 3.23
Bi4 0.9012 0.0988 0.0988  3 Bi 3.23
Bi5 0.5988 0.5988 0.4012  3 Bi 3.23
Bi6 0.0988 0.0988 0.9012  3 Bi 3.23
Bi7 0.4012 0.5988 0.5988  3 Bi 3.23
Bi8 0.5988 0.4012 0.5988  3 Bi 3.23
Cs1 0.7932 0.2068 0.7932  4 Bi 3.89-3.95
Cs2 0.2932 0.2932 0.7068  4 Bi 3.89-3.95
Cs3 0.2068 0.7932 0.7932  4 Bi 3.89-3.95
Cs4 0.7932 0.7932 0.2068  4 Bi 3.89-3.95
Cs5 0.2932 0.7068 0.2932  4 Bi 3.89-3.95
Cs6 0.7068 0.2932 0.2932  4 Bi 3.89-3.95
Cs7 0.2068 0.2068 0.2068  4 Bi 3.89-3.95
Cs8 0.7068 0.7068 0.7068  4 Bi 3.89-3.95

#b
VASP calculation (PBE) on an optimized crystal structure of CsBi.

For the density, the calculation gives 4213 kg/m³. The value obtained for the density of states at the Fermi level is 1.4 states/eV/f.u.

a b c (Å): 14.3134 14.3134 5.2621
angles (deg): 90.00 90.00 90.00
With the nearest neighbours (Å) after each atom.
Element x y z (fractional)
Bi1 0.2109 0.7888 0.0000  2 Bi 3.07
Bi2 0.7112 0.7109 0.5000  2 Bi 3.07
Bi3 0.2888 0.2891 0.5000  2 Bi 3.07
Bi4 0.2891 0.7112 0.5000  2 Bi 3.07
Bi5 0.2112 0.2109 0.0000  2 Bi 3.07
Bi6 0.7891 0.2112 0.0000  2 Bi 3.07
Bi7 0.7109 0.2888 0.5000  2 Bi 3.07
Bi8 0.7888 0.7891 0.0000  2 Bi 3.07
Cs1 0.7501 0.5001 0.0000  6 Bi 4.04-4.17
Cs2 0.5001 0.2499 0.0000  6 Bi 4.04-4.17
Cs3 0.0001 0.7499 0.5000  6 Bi 4.04-4.17
Cs4 0.9999 0.2501 0.5000  6 Bi 4.04-4.17
Cs5 0.7499 0.9999 0.5000  6 Bi 4.04-4.17
Cs6 0.2501 0.0001 0.5000  6 Bi 4.04-4.17
Cs7 0.4999 0.7501 0.0000  6 Bi 4.04-4.17
Cs8 0.2499 0.4999 0.0000  6 Bi 4.04-4.17

Order of stability, best first: #b, #a

#a
VASP calculation (PBE) on an optimized crystal structure of CsCuBi3.

For the density, the calculation gives 8076 kg/m³. The value obtained for the density of states at the Fermi level is 3.1 states/eV/f.u.

a b c (Å): 5.5321 5.5321 5.5321
angles (deg): 90.00 90.00 90.00
With the nearest neighbours (Å) after each atom.
Element x y z (fractional)
Bi1 0.0000 0.0000 0.5000  2 Cu 2.77
Bi2 0.0000 0.5000 0.0000  2 Cu 2.77
Bi3 0.5000 0.0000 0.0000  2 Cu 2.77
Cs1 0.5000 0.5000 0.5000  12 Bi 3.91
Cu1 0.0000 0.0000 0.0000  6 Bi 2.77

#b
VASP calculation (PBE) on an optimized crystal structure of CsCuBi3.

For the density, the calculation gives 5321 kg/m³. The value obtained for the density of states at the Fermi level is 9.5 states/eV/f.u.

a b c (Å): 6.3574 6.3574 6.3574
angles (deg): 90.00 90.00 90.00
With the nearest neighbours (Å) after each atom.
Element x y z (fractional)
Bi1 0.0000 0.0000 0.5000  2 Cs 3.18
Bi2 0.0000 0.5000 0.0000  2 Cs 3.18
Bi3 0.5000 0.0000 0.0000  2 Cs 3.18
Cs1 0.0000 0.0000 0.0000  6 Bi 3.18
Cu1 0.5000 0.5000 0.5000  12 Bi 4.50

Order of stability, best first: #a, #b

#a
VASP calculation (PBE) on an optimized crystal structure of CsCuBi.

For the density, the calculation gives 5970 kg/m³. The value obtained for the density of states at the Fermi level is 4.0 states/eV/f.u.

a b c (Å): 6.2004 4.5825 4.5825
angles (deg): 120.00 90.00 90.00
With the nearest neighbours (Å) after each atom.
Element x y z (fractional)
Cs1 0.6665 0.6667 0.3333  6 Cu 4.07-4.08, 6 Bi 4.08
Cu1 0.1669 0.3333 0.6667  3 Bi 2.65
Bi1 0.1666 0.0000 0.0000  3 Cu 2.65

#b
VASP calculation (PBE) on an optimized crystal structure of CsCuBi.

For the density, the calculation gives 6257 kg/m³. The value obtained for the density of states at the Fermi level is 1.9 states/eV/f.u.

a b c (Å): 4.8626 4.8626 9.1012
angles (deg): 90.00 90.00 90.00
With the nearest neighbours (Å) after each atom.
Element x y z (fractional)
Cu1 0.0000 0.0000 0.5000  4 Bi 2.76
Cu2 0.5000 0.5000 0.5000  4 Bi 2.76
Bi1 0.0000 0.5000 0.3556  4 Cu 2.76
Bi2 0.5000 0.0000 0.6444  4 Cu 2.76
Cs1 0.5000 0.0000 0.1730  4 Bi 3.82, 4 Cu 3.84
Cs2 0.0000 0.5000 0.8270  4 Bi 3.82, 4 Cu 3.84

#c
VASP calculation (PBE) on an optimized crystal structure of CsCuBi.

For the density, the calculation gives 6224 kg/m³. The value obtained for the density of states at the Fermi level is 1.3 states/eV/f.u.

a b c (Å): 4.5902 7.8730 6.7133
angles (deg): 90.81 70.01 73.05
With the nearest neighbours (Å) after each atom.
Element x y z (fractional)
Bi1 0.3881 0.8599 0.3639  3 Cu 2.70-2.95
Bi2 0.6119 0.1401 0.6361  3 Cu 2.70-2.95
Cu1 0.0778 0.0356 0.8087  1 Cu 2.54, 2 Bi 2.70
Cu2 0.9222 0.9644 0.1913  1 Cu 2.54, 2 Bi 2.70
Cs1 0.7822 0.6497 0.7858  4 Cu 3.69-3.99, 4 Bi 3.79-3.99, 1 Cs 4.00
Cs2 0.2178 0.3503 0.2142  4 Cu 3.69-3.99, 4 Bi 3.79-3.99, 1 Cs 4.00

Order of stability, best first: #b, #a, #c